## Mg2NCl (PBE-GGA)

Data for crystalline Mg2NCl at its relaxed geometry.

The calculation puts the uncorrected formation energy at -1067 meV per atom. The energy above the lowest structure with this stoichiometry is 81 meV per atom.

The structure belongs to space group I-42d (No. 122); the cell edges are 5.450, 5.450 and 9.790 Å and the angles 90.00°, 90.00° and 90.00°. Symmetry generates all atoms from Mg at (0.149, 0.250, 0.125), N at (0.000, 0.000, 0.000) and Cl at (0.000, 0.000, 0.500).



## CaEuTi4O12 (PBE-GGA)

Data for crystalline CaEuTi4O12 at its relaxed geometry.

The calculation puts the uncorrected formation energy at -2582 meV per atom.

The structure belongs to space group Amm2 (No. 38); the cell edges are 7.761, 7.688 and 7.707 Å and the angles 90.00°, 90.00° and 90.00°. Symmetry generates all atoms from Ca at (0.000, 0.000, 0.000), Eu at (0.500, 0.000, 0.456), Ti at (0.246, 0.241, 0.727), O at (0.000, 0.224, 0.213), O at (0.212, 0.000, 0.774), O at (0.265, 0.212, 0.477), O at (0.271, 0.000, 0.205) and O at (0.500, 0.219, 0.722).



## NdBi2Pb (PBE-GGA)

Data for crystalline NdBi2Pb at its relaxed geometry.

As for the formation energy: -0.443 eV per atom. The energy above the lowest structure with this stoichiometry is 0 meV per atom.

The structure belongs to space group P4/nmm (No. 129, origin choice 2); the cell edges are 4.668, 4.668 and 11.595 Å and the angles 90.00°, 90.00° and 90.00°. Symmetry generates all atoms from Nd at (0.250, 0.250, 0.224), Bi at (0.250, 0.250, 0.734), Bi at (0.250, 0.750, 0.000) and Pb at (0.250, 0.750, 0.500).



## Na2MnIrRu (PBE-GGA)

Data for crystalline Na2MnIrRu at its relaxed geometry.

As for the formation energy: 1.655 eV per atom.

The structure belongs to space group P4/mmm (No. 123); the cell edges are 4.836, 4.836 and 4.374 Å and the angles 90.00°, 90.00° and 90.00°. Symmetry generates all atoms from Na at (0.000, 0.500, 0.000), Mn at (0.000, 0.000, 0.000), Ir at (0.500, 0.500, 0.500) and Ru at (0.000, 0.000, 0.500).



Per-record calculated volume, Å³ per cell: 290.7 459.8 252.7 102.3